The following is a PBE calculation of a relaxed SrMg2InB crystal, from the Alexandria database.

Values from the calculation:
Calculated formation energy in meV/atom: 692
E in eV per atom: -2.17
Total magnetization in μB/atom: 0.000

```
data_SrMg2InB
_symmetry_space_group_name_H-M 'P 4/m m m'
_symmetry_Int_Tables_number 123
_symmetry_space_group_name_Hall '-P 4 2'
_cell_length_a 5.7473
_cell_length_b 5.7473
_cell_length_c 4.3387
_cell_angle_alpha 90.00
_cell_angle_beta 90.00
_cell_angle_gamma 90.00
loop_
_atom_site_label
_atom_site_type_symbol
_atom_site_fract_x
_atom_site_fract_y
_atom_site_fract_z
_atom_site_occupancy
Sr1 Sr 0.0000 0.0000 0.0000 1
Mg1 Mg 0.0000 0.5000 0.5000 1
In1 In 0.5000 0.5000 0.5000 1
B1 B 0.5000 0.5000 0.0000 1
```